# CrPd5Au2 | Alexandria | GGA-PBE | optimized geometry
# ΔH_f (0 K) = -59 meV per atom
# DOS at the Fermi energy = 1.19 states/eV/atom
data_CrPd5Au2
_cell_length_a 5.695
_cell_length_b 5.695
_cell_length_c 7.858
_cell_angle_alpha 90.00
_cell_angle_beta 90.00
_cell_angle_gamma 90.00
_symmetry_space_group_name_H-M 'I 4/m m m'
_symmetry_Int_Tables_number 139
_symmetry_space_group_name_Hall '-I 4 2'
loop_
_atom_site_label
_atom_site_fract_x
_atom_site_fract_y
_atom_site_fract_z
_atom_site_occupancy
Cr1 0.000 0.000 0.000 1
Pd1 0.000 0.000 0.500 1
Pd2 0.250 0.250 0.250 1
Au1 0.000 0.500 0.000 1

# Cr2Pd2Au | Alexandria | GGA-PBE | optimized geometry
# ΔH_f (0 K) = 208 meV per atom
# DOS at the Fermi energy = 0.94 states/eV/atom
data_Cr2Pd2Au
_cell_length_a 7.334
_cell_length_b 7.334
_cell_length_c 2.810
_cell_angle_alpha 90.00
_cell_angle_beta 90.00
_cell_angle_gamma 90.00
_symmetry_space_group_name_H-M 'P 4/m b m'
_symmetry_Int_Tables_number 127
_symmetry_space_group_name_Hall '-P 4 2ab'
loop_
_atom_site_label
_atom_site_fract_x
_atom_site_fract_y
_atom_site_fract_z
_atom_site_occupancy
Cr1 0.091 0.409 0.000 1
Pd1 0.197 0.697 0.500 1
Au1 0.000 0.000 0.000 1

# CrPd3Au12 | Alexandria | GGA-PBE | optimized geometry
# ΔH_f (0 K) = -36 meV per atom
# DOS at the Fermi energy = 0.45 states/eV/atom
data_CrPd3Au12
_cell_length_a 4.104
_cell_length_b 4.104
_cell_length_c 16.466
_cell_angle_alpha 90.00
_cell_angle_beta 90.00
_cell_angle_gamma 90.00
_symmetry_space_group_name_H-M 'P 4/m m m'
_symmetry_Int_Tables_number 123
_symmetry_space_group_name_Hall '-P 4 2'
loop_
_atom_site_label
_atom_site_fract_x
_atom_site_fract_y
_atom_site_fract_z
_atom_site_occupancy
Cr1 0.000 0.000 0.000 1
Pd1 0.000 0.000 0.251 1
Pd2 0.000 0.000 0.500 1
Au1 0.000 0.500 0.125 1
Au2 0.000 0.500 0.375 1
Au3 0.500 0.500 0.000 1
Au4 0.500 0.500 0.250 1
Au5 0.500 0.500 0.500 1

# CrPd4Au2 | Alexandria | GGA-PBE | optimized geometry
# ΔH_f (0 K) = -51 meV per atom
# DOS at the Fermi energy = 1.18 states/eV/atom
# Energy relative to the lowest polymorph listed for this composition = 0.00 eV/f.u.
data_CrPd4Au2
_cell_length_a 5.643
_cell_length_b 6.390
_cell_length_c 6.929
_cell_angle_alpha 111.89
_cell_angle_beta 91.73
_cell_angle_gamma 103.22
_symmetry_space_group_name_H-M 'P 1'
_symmetry_Int_Tables_number 1
_symmetry_space_group_name_Hall 'P 1'
loop_
_atom_site_label
_atom_site_fract_x
_atom_site_fract_y
_atom_site_fract_z
_atom_site_occupancy
Cr1 0.000 0.000 0.000 1
Cr2 0.301 0.142 0.692 1
Pd1 0.079 0.277 0.419 1
Pd2 0.219 0.855 0.282 1
Pd3 0.352 0.406 0.123 1
Pd4 0.579 0.281 0.427 1
Pd5 0.650 0.564 0.852 1
Pd6 0.801 0.136 0.714 1
Pd7 0.862 0.420 0.141 1
Pd8 0.947 0.723 0.578 1
Au1 0.144 0.562 0.853 1
Au2 0.438 0.704 0.560 1
Au3 0.499 0.998 0.991 1
Au4 0.723 0.850 0.279 1

# Cr2Pd7Au | Alexandria | GGA-PBE | optimized geometry
# ΔH_f (0 K) = 480 meV per atom
# DOS at the Fermi energy = 1.05 states/eV/atom
data_Cr2Pd7Au
_cell_length_a 7.246
_cell_length_b 12.848
_cell_length_c 4.099
_cell_angle_alpha 90.00
_cell_angle_beta 90.00
_cell_angle_gamma 90.00
_symmetry_space_group_name_H-M 'C m m m'
_symmetry_Int_Tables_number 65
_symmetry_space_group_name_Hall '-C 2 2'
loop_
_atom_site_label
_atom_site_fract_x
_atom_site_fract_y
_atom_site_fract_z
_atom_site_occupancy
Cr1 0.000 0.191 0.000 1
Pd1 0.000 0.000 0.000 1
Pd2 0.000 0.290 0.500 1
Pd3 0.190 0.385 0.000 1
Au1 0.000 0.500 0.500 1

# CrPd8Au2 | Alexandria | GGA-PBE | optimized geometry
# ΔH_f (0 K) = 290 meV per atom
# DOS at the Fermi energy = 1.12 states/eV/atom
# Energy relative to the lowest polymorph listed for this composition = 3.90 eV/f.u.
data_CrPd8Au2
_cell_length_a 9.939
_cell_length_b 8.735
_cell_length_c 4.832
_cell_angle_alpha 90.00
_cell_angle_beta 107.64
_cell_angle_gamma 90.00
_symmetry_space_group_name_H-M 'C 1 2/m 1'
_symmetry_Int_Tables_number 12
_symmetry_space_group_name_Hall '-C 2y'
loop_
_atom_site_label
_atom_site_fract_x
_atom_site_fract_y
_atom_site_fract_z
_atom_site_occupancy
Cr1 0.000 0.000 0.000 1
Pd1 0.071 0.500 0.296 1
Pd2 0.081 0.241 0.814 1
Pd3 0.229 0.500 0.895 1
Au1 0.147 0.000 0.526 1

# CrPdAu3 | Alexandria | GGA-PBE | optimized geometry
# ΔH_f (0 K) = 911 meV per atom
# DOS at the Fermi energy = 0.35 states/eV/atom
# Energy relative to the lowest polymorph listed for this composition = 3.92 eV/f.u.
data_CrPdAu3
_cell_length_a 5.013
_cell_length_b 5.013
_cell_length_c 5.013
_cell_angle_alpha 90.00
_cell_angle_beta 90.00
_cell_angle_gamma 90.00
_symmetry_space_group_name_H-M 'P m -3 m'
_symmetry_Int_Tables_number 221
_symmetry_space_group_name_Hall '-P 4 2 3'
loop_
_atom_site_label
_atom_site_fract_x
_atom_site_fract_y
_atom_site_fract_z
_atom_site_occupancy
Cr1 0.000 0.000 0.000 1
Pd1 0.500 0.500 0.500 1
Au1 0.000 0.500 0.500 1

# CrPd4Au5 | Alexandria | GGA-PBE | optimized geometry
# ΔH_f (0 K) = 45 meV per atom
# DOS at the Fermi energy = 0.62 states/eV/atom
data_CrPd4Au5
_cell_length_a 14.137
_cell_length_b 4.136
_cell_length_c 6.934
_cell_angle_alpha 90.00
_cell_angle_beta 118.78
_cell_angle_gamma 90.00
_symmetry_space_group_name_H-M 'C 1 2/m 1'
_symmetry_Int_Tables_number 12
_symmetry_space_group_name_Hall '-C 2y'
loop_
_atom_site_label
_atom_site_fract_x
_atom_site_fract_y
_atom_site_fract_z
_atom_site_occupancy
Cr1 0.000 0.000 0.000 1
Pd1 0.020 0.500 0.243 1
Pd2 0.173 0.000 0.409 1
Au1 0.000 0.000 0.500 1
Au2 0.162 0.500 0.702 1
Au3 0.182 0.500 0.124 1

# CrPd6Au | Alexandria | GGA-PBE | optimized geometry
# ΔH_f (0 K) = 67 meV per atom
# DOS at the Fermi energy = 1.36 states/eV/atom
# Energy relative to the lowest polymorph listed for this composition = 1.07 eV/f.u.
data_CrPd6Au
_cell_length_a 4.933
_cell_length_b 5.124
_cell_length_c 5.167
_cell_angle_alpha 93.16
_cell_angle_beta 93.33
_cell_angle_gamma 95.13
_symmetry_space_group_name_H-M 'P -1'
_symmetry_Int_Tables_number 2
_symmetry_space_group_name_Hall '-P 1'
loop_
_atom_site_label
_atom_site_fract_x
_atom_site_fract_y
_atom_site_fract_z
_atom_site_occupancy
Cr1 0.000 0.000 0.000 1
Pd1 0.025 0.442 0.752 1
Pd2 0.248 0.956 0.572 1
Pd3 0.464 0.748 0.029 1
Au1 0.500 0.500 0.500 1

# CrPd12Au3 | Alexandria | GGA-PBE | optimized geometry
# ΔH_f (0 K) = -56 meV per atom
# DOS at the Fermi energy = 1.52 states/eV/atom
data_CrPd12Au3
_cell_length_a 3.979
_cell_length_b 3.979
_cell_length_c 15.894
_cell_angle_alpha 90.00
_cell_angle_beta 90.00
_cell_angle_gamma 90.00
_symmetry_space_group_name_H-M 'P 4/m m m'
_symmetry_Int_Tables_number 123
_symmetry_space_group_name_Hall '-P 4 2'
loop_
_atom_site_label
_atom_site_fract_x
_atom_site_fract_y
_atom_site_fract_z
_atom_site_occupancy
Cr1 0.000 0.000 0.000 1
Pd1 0.000 0.500 0.118 1
Pd2 0.000 0.500 0.373 1
Pd3 0.500 0.500 0.000 1
Pd4 0.500 0.500 0.246 1
Pd5 0.500 0.500 0.500 1
Au1 0.000 0.000 0.246 1
Au2 0.000 0.000 0.500 1

# Cr3PdAu | Alexandria | GGA-PBE | optimized geometry
# ΔH_f (0 K) = 1790 meV per atom
# DOS at the Fermi energy = 2.01 states/eV/atom
# Energy relative to the lowest polymorph listed for this composition = 0.00 eV/f.u.
data_Cr3PdAu
_cell_length_a 4.489
_cell_length_b 4.489
_cell_length_c 4.489
_cell_angle_alpha 90.00
_cell_angle_beta 90.00
_cell_angle_gamma 90.00
_symmetry_space_group_name_H-M 'P m -3 m'
_symmetry_Int_Tables_number 221
_symmetry_space_group_name_Hall '-P 4 2 3'
loop_
_atom_site_label
_atom_site_fract_x
_atom_site_fract_y
_atom_site_fract_z
_atom_site_occupancy
Cr1 0.000 0.000 0.500 1
Pd1 0.000 0.000 0.000 1
Au1 0.500 0.500 0.500 1

# CrPd2Au2 | Alexandria | GGA-PBE | optimized geometry
# ΔH_f (0 K) = 201 meV per atom
# DOS at the Fermi energy = 0.99 states/eV/atom
# Energy relative to the lowest polymorph listed for this composition = 0.38 eV/f.u.
data_CrPd2Au2
_cell_length_a 7.070
_cell_length_b 7.070
_cell_length_c 3.579
_cell_angle_alpha 90.00
_cell_angle_beta 90.00
_cell_angle_gamma 90.00
_symmetry_space_group_name_H-M 'P 4/m b m'
_symmetry_Int_Tables_number 127
_symmetry_space_group_name_Hall '-P 4 2ab'
loop_
_atom_site_label
_atom_site_fract_x
_atom_site_fract_y
_atom_site_fract_z
_atom_site_occupancy
Cr1 0.000 0.000 0.000 1
Pd1 0.155 0.345 0.500 1
Au1 0.144 0.644 0.000 1

# CrPd6Au2 | Alexandria | GGA-PBE | optimized geometry
# ΔH_f (0 K) = 57 meV per atom
# DOS at the Fermi energy = 0.98 states/eV/atom
# Energy relative to the lowest polymorph listed for this composition = 1.09 eV/f.u.
data_CrPd6Au2
_cell_length_a 9.848
_cell_length_b 11.068
_cell_length_c 5.405
_cell_angle_alpha 90.00
_cell_angle_beta 95.65
_cell_angle_gamma 90.00
_symmetry_space_group_name_H-M 'C 1 2/c 1'
_symmetry_Int_Tables_number 15
_symmetry_space_group_name_Hall '-C 2yc'
loop_
_atom_site_label
_atom_site_fract_x
_atom_site_fract_y
_atom_site_fract_z
_atom_site_occupancy
Cr1 0.000 0.097 0.250 1
Pd1 0.010 0.286 0.998 1
Pd2 0.137 0.089 0.812 1
Pd3 0.235 0.191 0.278 1
Au1 0.133 0.487 0.388 1

# CrPd3Au | Alexandria | GGA-PBE | optimized geometry
# ΔH_f (0 K) = 862 meV per atom
# DOS at the Fermi energy = 0.89 states/eV/atom
# Energy relative to the lowest polymorph listed for this composition = 4.58 eV/f.u.
data_CrPd3Au
_cell_length_a 4.548
_cell_length_b 4.548
_cell_length_c 4.548
_cell_angle_alpha 90.00
_cell_angle_beta 90.00
_cell_angle_gamma 90.00
_symmetry_space_group_name_H-M 'P m -3 m'
_symmetry_Int_Tables_number 221
_symmetry_space_group_name_Hall '-P 4 2 3'
loop_
_atom_site_label
_atom_site_fract_x
_atom_site_fract_y
_atom_site_fract_z
_atom_site_occupancy
Cr1 0.000 0.000 0.000 1
Pd1 0.000 0.000 0.500 1
Au1 0.500 0.500 0.500 1

# Cr2PdAuS | Alexandria | GGA-PBE | optimized geometry
# Formation energy from raw total energies = 0.79 eV per atom
# DOS at the Fermi energy = 0.48 states/eV/atom
data_Cr2PdAuS
_cell_length_a 5.064
_cell_length_b 5.064
_cell_length_c 4.301
_cell_angle_alpha 90.00
_cell_angle_beta 90.00
_cell_angle_gamma 90.00
_symmetry_space_group_name_H-M 'P 4/m m m'
_symmetry_Int_Tables_number 123
_symmetry_space_group_name_Hall '-P 4 2'
loop_
_atom_site_label
_atom_site_fract_x
_atom_site_fract_y
_atom_site_fract_z
_atom_site_occupancy
Cr1 0.000 0.500 0.000 1
Pd1 0.000 0.000 0.000 1
Au1 0.500 0.500 0.500 1
S1 0.000 0.000 0.500 1

# SrCrPdAu2 | Alexandria | GGA-PBE | optimized geometry
# ΔH_f (0 K) = 1042 meV per atom
# DOS at the Fermi energy = 0.51 states/eV/atom
data_SrCrPdAu2
_cell_length_a 5.584
_cell_length_b 5.584
_cell_length_c 5.220
_cell_angle_alpha 90.00
_cell_angle_beta 90.00
_cell_angle_gamma 90.00
_symmetry_space_group_name_H-M 'P 4/m m m'
_symmetry_Int_Tables_number 123
_symmetry_space_group_name_Hall '-P 4 2'
loop_
_atom_site_label
_atom_site_fract_x
_atom_site_fract_y
_atom_site_fract_z
_atom_site_occupancy
Sr1 0.000 0.000 0.000 1
Cr1 0.500 0.500 0.500 1
Pd1 0.000 0.000 0.500 1
Au1 0.000 0.500 0.000 1

# Y2CrPdAu | Alexandria | GGA-PBE | optimized geometry
# ΔH_f (0 K) = 104 meV per atom
# DOS at the Fermi energy = 0.71 states/eV/atom
data_Y2CrPdAu
_cell_length_a 5.319
_cell_length_b 5.319
_cell_length_c 4.842
_cell_angle_alpha 90.00
_cell_angle_beta 90.00
_cell_angle_gamma 90.00
_symmetry_space_group_name_H-M 'P 4/m m m'
_symmetry_Int_Tables_number 123
_symmetry_space_group_name_Hall '-P 4 2'
loop_
_atom_site_label
_atom_site_fract_x
_atom_site_fract_y
_atom_site_fract_z
_atom_site_occupancy
Y1 0.000 0.500 0.000 1
Cr1 0.000 0.000 0.500 1
Pd1 0.000 0.000 0.000 1
Au1 0.500 0.500 0.500 1

# ZnCrPdAu | Alexandria | GGA-PBE | optimized geometry
# ΔH_f (0 K) = -119 meV per atom
# DOS at the Fermi energy = 0.57 states/eV/atom
data_ZnCrPdAu
_cell_length_a 6.302
_cell_length_b 6.302
_cell_length_c 6.302
_cell_angle_alpha 90.00
_cell_angle_beta 90.00
_cell_angle_gamma 90.00
_symmetry_space_group_name_H-M 'F -4 3 m'
_symmetry_Int_Tables_number 216
_symmetry_space_group_name_Hall 'F -4 2 3'
loop_
_atom_site_label
_atom_site_fract_x
_atom_site_fract_y
_atom_site_fract_z
_atom_site_occupancy
Zn1 0.000 0.000 0.000 1
Cr1 0.000 0.000 0.500 1
Pd1 0.250 0.250 0.250 1
Au1 0.250 0.250 0.750 1

# PmCrSbAu | Alexandria | GGA-PBE | optimized geometry
# Formation energy from raw total energies = -0.29 eV per atom
# DOS at the Fermi energy = 0.57 states/eV/atom
data_PmCrSbAu
_cell_length_a 7.198
_cell_length_b 7.198
_cell_length_c 7.198
_cell_angle_alpha 90.00
_cell_angle_beta 90.00
_cell_angle_gamma 90.00
_symmetry_space_group_name_H-M 'F -4 3 m'
_symmetry_Int_Tables_number 216
_symmetry_space_group_name_Hall 'F -4 2 3'
loop_
_atom_site_label
_atom_site_fract_x
_atom_site_fract_y
_atom_site_fract_z
_atom_site_occupancy
Pm1 0.000 0.000 0.000 1
Cr1 0.000 0.000 0.500 1
Sb1 0.250 0.250 0.250 1
Au1 0.250 0.250 0.750 1

# CrPt2Au | Alexandria | GGA-PBE | optimized geometry
# ΔH_f (0 K) = 226 meV per atom
# DOS at the Fermi energy = 0.99 states/eV/atom
data_CrPt2Au
_cell_length_a 7.132
_cell_length_b 7.132
_cell_length_c 5.403
_cell_angle_alpha 90.00
_cell_angle_beta 90.00
_cell_angle_gamma 90.00
_symmetry_space_group_name_H-M 'I -4 2 d'
_symmetry_Int_Tables_number 122
_symmetry_space_group_name_Hall 'I -4 2bw'
loop_
_atom_site_label
_atom_site_fract_x
_atom_site_fract_y
_atom_site_fract_z
_atom_site_occupancy
Cr1 0.000 0.000 0.000 1
Pt1 0.223 0.750 0.125 1
Au1 0.000 0.000 0.500 1